No. 1
Compound: BaInTe2
Source: the Alexandria database
Functional: PBE-GGA
Structure: optimized geometry

Summary:
space-group type = Cm
uncorrected formation energy = -0.9574 eV per atom
crystal system = monoclinic
energy = -3.693 eV per atom

a b c (Å): 7.479 7.479 4.707
angles (deg): 89.99 89.99 35.07
Fractional coordinates of all 4 atoms:
Ba: 0.464 0.464 0.625
Te: 0.765 0.765 0.625
In: 0.235 0.235 0.124
Te: 0.036 0.036 0.126

No. 2
Compound: U3Cu2S8
Source: the Alexandria database
Functional: PBE-GGA
Structure: optimized geometry

Summary:
space-group type = C2/m
uncorrected formation energy = -0.9775 eV per atom
crystal system = monoclinic
energy = -6.753 eV per atom

a b c (Å): 6.774 7.858 7.344
angles (deg): 122.35 107.88 90.00
Fractional coordinates of all 13 atoms:
U: 0.500 0.000 0.000
Cu: 0.618 0.671 0.342
S: 0.245 0.124 0.249
S: 0.255 0.134 0.768
U: 0.000 0.741 0.000
S: 0.255 0.634 0.768
S: 0.745 0.866 0.232
S: 0.755 0.876 0.751
S: 0.745 0.366 0.232
U: 0.000 0.259 0.000
S: 0.752 0.380 0.759
S: 0.248 0.620 0.241
Cu: 0.382 0.329 0.658

No. 3
Compound: SrB2Te
Source: the Alexandria database
Functional: PBE-GGA
Structure: optimized geometry

Summary:
space-group type = I-42d
uncorrected formation energy = 0.8466 eV per atom
crystal system = tetragonal
energy = -3.698 eV per atom

a b c (Å): 6.970 6.970 5.993
angles (deg): 54.45 54.45 90.00
Fractional coordinates of all 8 atoms:
B: 0.066 0.625 0.250
B: 0.375 0.316 0.750
Te: 0.000 0.000 0.000
Sr: 0.250 0.750 0.500
B: 0.875 0.934 0.750
Te: 0.750 0.250 0.500
B: 0.684 0.125 0.250
Sr: 0.500 0.500 0.000

Number 1: magnetic moment 0.000 μB/atom. Number 2: magnetic moment 0.308 μB/atom. Number 3: magnetic moment 0.000 μB/atom.